# 1
DFT (GGA-PBE) results for a geometry-optimized P3Cl structure.

Lattice parameters (Å, degrees): 6.991 6.991 6.886 90.00 90.00 120.00
Fractional coordinates of all 16 atoms:
P1 0.500 0.000 0.000
P2 0.500 0.000 0.500
P3 0.000 0.500 0.000
P4 0.500 0.500 0.000
P5 0.500 0.500 0.500
P6 0.000 0.500 0.500
P7 0.789 0.579 0.250
P8 0.211 0.421 0.750
P9 0.421 0.211 0.250
P10 0.789 0.211 0.250
P11 0.211 0.789 0.750
P12 0.579 0.789 0.750
Cl1 0.000 0.000 0.000
Cl2 0.000 0.000 0.500
Cl3 0.333 0.667 0.250
Cl4 0.667 0.333 0.750

Output
For the polymorph energy (0 for the lowest one), the calculation gives 293.2 meV/atom. The value obtained for the magnetization is 0.0 μB per formula unit. For the formation energy without anion corrections, the calculation gives 0.511 eV/atom. As for the space group: P6_3/mmc (194). The calculation puts the raw total energy at -4.008 eV per atom.

=====

# 2
DFT (GGA-PBE) results for a geometry-optimized La2DyPdO5 structure.

Lattice parameters (Å, degrees): 5.923 6.692 6.692 90.00 90.00 90.00
Fractional coordinates of all 18 atoms:
La1 0.500 0.663 0.163
La2 0.500 0.163 0.337
La3 0.500 0.837 0.663
La4 0.500 0.337 0.837
Dy1 0.000 0.500 0.500
Dy2 0.000 0.000 0.000
Pd1 0.000 0.000 0.500
Pd2 0.000 0.500 0.000
O1 0.500 0.500 0.500
O2 0.500 0.000 0.000
O3 0.229 0.173 0.673
O4 0.229 0.827 0.327
O5 0.229 0.327 0.173
O6 0.229 0.673 0.827
O7 0.771 0.173 0.673
O8 0.771 0.673 0.827
O9 0.771 0.827 0.327
O10 0.771 0.327 0.173

Output
The value obtained for the magnetization is 1.0 μB per formula unit. For the formation energy without anion corrections, the calculation gives -2.435 eV/atom. As for the space group: P4/mbm (127). The calculation puts the raw total energy at -7.373 eV per atom.

=====

# 3
DFT (GGA-PBE) results for a geometry-optimized YTa2Au structure.

Lattice parameters (Å, degrees): 5.658 5.658 5.658 145.09 126.09 65.85
Fractional coordinates of all 4 atoms:
Au1 0.235 0.735 0.500
Ta1 0.993 0.993 0.000
Ta2 0.772 0.272 0.500
Y1 0.500 0.500 0.000

Output
For the polymorph energy (0 for the lowest one), the calculation gives 249.2 meV/atom. The value obtained for the magnetization is 0.0 μB per formula unit. As for the formation energy: 0.21 eV per atom. As for the space group: Imm2 (44). The calculation puts the raw total energy at -8.156 eV per atom.

=====

- Which value of magnetization does entry 1 give?
  0.0 μB per formula unit

=====

- Number 1 is which compound?
  P3Cl